DFT (GGA-PBE) results for a relaxed structure of CaAgHg2.

Results
total DFT energy (no corrections): -13.3 eV per cell
DOS(E_F): 4.45 states/eV per cell
V: 23.7 Å³/atom
size of the total moment: 0.00 μB/cell
DFT formation energy: -0.29 eV/atom

```
data_CaAgHg2
_chemical_formula_sum 'Ca2 Ag2 Hg4'
_space_group_name_H-M_alt 'I m m 2'
_space_group_IT_number 44
_cell_length_a 4.623
_cell_length_b 4.636
_cell_length_c 8.855
_cell_angle_alpha 90.00
_cell_angle_beta 90.00
_cell_angle_gamma 90.00
loop_
_space_group_symop_operation_xyz
'x,y,z'
'-x,-y,z'
'-x,y,z'
'x,-y,z'
'x+1/2,y+1/2,z+1/2'
'-x+1/2,-y+1/2,z+1/2'
'-x+1/2,y+1/2,z+1/2'
'x+1/2,-y+1/2,z+1/2'
loop_
_atom_site_label
_atom_site_fract_x
_atom_site_fract_y
_atom_site_fract_z
Ca1 0.000 0.000 0.000
Ag1 0.000 0.500 0.250
Hg1 0.000 0.000 0.500
Hg2 0.000 0.500 0.750
```